Crystalline V2Fe2Sn at its relaxed geometry. Source: the Alexandria database, functional PBE-GGA.

Summary:
Total magnetic moment in μB per cell: 0.000
Energy of formation from the pure elements in eV/atom: 0.027
Calculated volume in Å³/f.u.: 68.5
Electronic total energy in eV/cell: -78.1

Unit cell a=6.940 b=6.940 c=2.844 alpha=90.00 beta=90.00 gamma=90.00
Sites, in units of the cell vectors:
Fe  0.630  0.130  0.000
Fe  0.130  0.370  0.000
Fe  0.370  0.870  0.000
Fe  0.870  0.630  0.000
V  0.344  0.156  0.500
V  0.656  0.844  0.500
V  0.156  0.656  0.500
V  0.844  0.344  0.500
Sn  0.000  0.000  0.000
Sn  0.500  0.500  0.000

***

Crystalline PmPr2Tm at its relaxed geometry. Source: the Alexandria database, functional PBE-GGA.

Summary:
Total magnetic moment in μB per cell: 0.000
Energy of formation from the pure elements in eV/atom: 0.016
Energy above the lowest structure with this stoichiometry in meV per atom: 2
Calculated volume in Å³/f.u.: 136.1
Electronic total energy in eV/cell: -18.7

Unit cell a=3.649 b=3.649 c=11.989 alpha=81.25 beta=81.25 gamma=60.00
Sites, in units of the cell vectors:
Pr  0.752  0.752  0.745
Pr  0.248  0.248  0.255
Tm  0.500  0.500  0.500
Pm  0.000  0.000  0.000

***

Crystalline BeSiP2O at its relaxed geometry. Source: the Alexandria database, functional PBE-GGA.

Summary:
Total magnetic moment in μB per cell: 1.453
Energy above the lowest structure with this stoichiometry in meV per atom: 1137
Calculated volume in Å³/f.u.: 84.5
Electronic total energy in eV/cell: -19.1
Raw formation energy in meV per atom: 1156.9

Unit cell a=4.486 b=4.198 c=4.486 alpha=90.00 beta=90.00 gamma=90.00
Each line ends with the local moment (μB).
Sites, in units of the cell vectors:
Si  0.000  0.000  0.000  -0.01
P  0.000  0.000  0.500  0.09
P  0.500  0.000  0.000  0.16
Be  0.000  0.500  0.000  -0.02
O  0.500  0.500  0.500  0.85

***

Crystalline RbHf3Cr at its relaxed geometry. Source: the Alexandria database, functional PBE-GGA.

Summary:
Total magnetic moment in μB per cell: 0.555
Energy of formation from the pure elements in eV/atom: 2.791
Energy above the lowest structure with this stoichiometry in meV per atom: 1820
Calculated volume in Å³/f.u.: 119.8
Electronic total energy in eV/cell: -26.5

Unit cell a=4.929 b=4.929 c=4.929 alpha=90.00 beta=90.00 gamma=90.00
Each line ends with the local moment (μB).
Sites, in units of the cell vectors:
Rb  0.000  0.000  0.000  0.02
Cr  0.500  0.500  0.500  0.46
Hf  0.000  0.500  0.000  0.02
Hf  0.500  0.000  0.000  0.00
Hf  0.000  0.000  0.500  0.05

***

Crystalline AcSmRu4 at its relaxed geometry. Source: the Alexandria database, functional PBE-GGA.

Summary:
Total magnetic moment in μB per cell: 0.000
Energy of formation from the pure elements in eV/atom: -0.050
Calculated volume in Å³/f.u.: 116.2
Electronic total energy in eV/cell: -46.2

Unit cell a=5.478 b=5.478 c=5.478 alpha=60.00 beta=60.00 gamma=60.00
Sites, in units of the cell vectors:
Ru  0.626  0.626  0.123
Ru  0.626  0.626  0.626
Ru  0.123  0.626  0.626
Ru  0.626  0.123  0.626
Sm  0.000  0.000  0.000
Ac  0.250  0.250  0.250

***

Crystalline BeZn2Ru at its relaxed geometry. Source: the Alexandria database, functional PBE-GGA.

Summary:
Total magnetic moment in μB per cell: 0.001
Energy of formation from the pure elements in eV/atom: 0.223
Calculated volume in Å³/f.u.: 52.7
Electronic total energy in eV/cell: -14.7

Unit cell a=2.674 b=2.674 c=8.266 alpha=90.00 beta=90.00 gamma=117.03
Sites, in units of the cell vectors:
Zn  0.000  0.000  0.015
Zn  0.000  0.000  0.485
Be  0.500  0.500  0.250
Ru  0.500  0.500  0.750

***

Crystalline HgOs2 at its relaxed geometry. Source: the Alexandria database, functional PBE-GGA.

Summary:
Total magnetic moment in μB per cell: 0.000
Energy of formation from the pure elements in eV/atom: 0.499
Energy above the lowest structure with this stoichiometry in meV per atom: 104
Calculated volume in Å³/f.u.: 49.9
Electronic total energy in eV/cell: -21.3

Unit cell a=6.464 b=6.464 c=6.464 alpha=154.52 beta=154.52 gamma=36.34
Sites, in units of the cell vectors:
Hg  0.500  0.500  0.000
Os  0.184  0.184  0.000
Os  0.816  0.816  0.000

***

Crystalline Li2Ga2F7 at its relaxed geometry. Source: the Alexandria database, functional PBE-GGA.

Summary:
Total magnetic moment in μB per cell: 0.000
Energy above the lowest structure with this stoichiometry in meV per atom: 35
Calculated volume in Å³/f.u.: 141.4
Electronic total energy in eV/cell: -50.5
Raw formation energy in meV per atom: -2498.3

Unit cell a=5.087 b=5.727 c=5.727 alpha=106.75 beta=106.10 gamma=106.10
Sites, in units of the cell vectors:
Li  0.500  0.328  0.672
Li  0.500  0.672  0.328
F  0.722  0.044  0.420
F  0.722  0.420  0.044
F  0.000  0.000  0.000
F  0.784  0.565  0.565
F  0.216  0.435  0.435
F  0.278  0.580  0.956
F  0.278  0.956  0.580
Ga  0.823  0.198  0.198
Ga  0.177  0.802  0.802